(1)
This record from the Alexandria database describes an optimized crystal structure of CaIn5Hg12. The functional is PBE-GGA.

Cell and atoms, written as POSCAR:
```
CaIn5Hg12
1.0
2.816 -5.705 0.000
2.816 5.705 0.000
-2.621 0.000 14.900
Ca In Hg
1 5 12
direct
0.000 0.000 0.000
0.000 0.000 0.500
0.306 0.694 0.000
0.323 0.677 0.500
0.677 0.323 0.500
0.694 0.306 0.000
0.043 0.726 0.823
0.050 0.372 0.672
0.274 0.957 0.177
0.316 0.316 0.341
0.372 0.050 0.672
0.398 0.398 0.849
0.602 0.602 0.151
0.628 0.950 0.328
0.684 0.684 0.659
0.726 0.043 0.823
0.950 0.628 0.328
0.957 0.274 0.177
```

Computed properties:
Its symmetry is C2/m (12). For the energy of formation, the calculation gives -0.07 eV/atom. The electronic total energy comes out at -1.140 eV per atom.

(2)
This record from the Alexandria database describes an optimized crystal structure of CaIn2Hg. The functional is PBE-GGA.

Cell and atoms, written as POSCAR:
```
CaIn2Hg
1.0
10.544 0.000 0.000
0.000 3.732 0.000
-1.392 0.000 5.501
Ca In Hg
2 4 2
direct
0.000 0.000 0.000
0.500 0.500 0.000
0.008 0.500 0.511
0.261 0.500 0.285
0.508 0.000 0.511
0.761 0.000 0.285
0.253 0.000 0.773
0.753 0.500 0.773
```

Computed properties:
Its symmetry is Cm (8). For the energy of formation, the calculation gives -0.27 eV/atom. The electronic total energy comes out at -2.216 eV per atom.

(3)
This record from the Alexandria database describes an optimized crystal structure of Ca2InHg. The functional is PBE-GGA.

Cell and atoms, written as POSCAR:
```
Ca2InHg
1.0
3.827 0.000 0.000
0.000 5.352 0.000
0.000 0.000 11.234
Ca In Hg
4 2 2
direct
0.000 0.000 0.000
0.000 0.500 0.210
0.500 0.000 0.710
0.500 0.500 0.500
0.000 0.000 0.446
0.500 0.500 0.946
0.000 0.500 0.735
0.500 0.000 0.235
```

Computed properties:
Its symmetry is Imm2 (44). For the energy of formation, the calculation gives -0.41 eV/atom. The electronic total energy comes out at -2.174 eV per atom.

(4)
This record from the Alexandria database describes an optimized crystal structure of CaIn7Hg12. The functional is PBE-GGA.

Cell and atoms, written as POSCAR:
```
CaIn7Hg12
1.0
5.923 3.420 4.681
-5.923 3.420 4.681
0.000 -6.839 4.681
Ca In Hg
1 7 12
direct
0.000 0.000 0.000
0.054 0.150 0.619
0.150 0.619 0.054
0.381 0.946 0.850
0.500 0.500 0.500
0.619 0.054 0.150
0.850 0.381 0.946
0.946 0.850 0.381
0.070 0.752 0.713
0.158 0.528 0.406
0.248 0.287 0.930
0.287 0.930 0.248
0.406 0.158 0.528
0.472 0.594 0.842
0.528 0.406 0.158
0.594 0.842 0.472
0.713 0.070 0.752
0.752 0.713 0.070
0.842 0.472 0.594
0.930 0.248 0.287
```

Computed properties:
Its symmetry is R-3 (148). The value obtained for the excess energy over the best structure of this formula in the dataset is 0 meV/atom. For the energy of formation, the calculation gives -0.02 eV/atom. The electronic total energy comes out at -1.256 eV per atom.

(5)
This record from the Alexandria database describes an optimized crystal structure of CaIn4Hg. The functional is PBE-GGA.

Cell and atoms, written as POSCAR:
```
CaIn4Hg
1.0
11.409 0.000 0.000
0.000 5.159 0.000
-3.697 0.000 5.419
Ca In Hg
2 8 2
direct
0.000 0.000 0.000
0.500 0.500 0.000
0.166 0.500 0.418
0.167 0.500 0.919
0.333 0.000 0.081
0.334 0.000 0.582
0.666 0.000 0.418
0.667 0.000 0.919
0.833 0.500 0.081
0.834 0.500 0.582
0.000 0.000 0.500
0.500 0.500 0.500
```

Computed properties:
Its symmetry is C2/m (12). The value obtained for the excess energy over the best structure of this formula in the dataset is 0 meV/atom. For the energy of formation, the calculation gives -0.20 eV/atom. The electronic total energy comes out at -2.410 eV per atom.

(6)
This record from the Alexandria database describes an optimized crystal structure of CaInHg2. The functional is PBE-GGA.

Cell and atoms, written as POSCAR:
```
CaInHg2
1.0
8.321 0.000 0.000
0.000 8.321 0.000
0.000 0.000 6.643
Ca In Hg
4 4 8
direct
0.000 0.000 0.000
0.000 0.500 0.250
0.500 0.000 0.750
0.500 0.500 0.500
0.000 0.000 0.500
0.000 0.500 0.750
0.500 0.000 0.250
0.500 0.500 0.000
0.232 0.750 0.625
0.250 0.232 0.375
0.250 0.268 0.875
0.268 0.750 0.125
0.732 0.250 0.125
0.750 0.732 0.875
0.750 0.768 0.375
0.768 0.250 0.625
```

Computed properties:
Its symmetry is I-42d (122). For the energy of formation, the calculation gives -0.23 eV/atom. The electronic total energy comes out at -1.568 eV per atom.